## Mg3InPt (PBE-GGA)

Data for an optimized crystal structure of Mg3InPt.

Lattice parameters (Å, degrees): 4.581 5.575 8.992 91.79 90.00 114.26
Element x y z (fractional)
1 Mg 0.612 0.225 0.136
2 Mg 0.388 0.775 0.864
3 Mg 0.875 0.750 0.609
4 Pt 0.756 0.512 0.882
5 In 0.591 0.182 0.629
6 Mg 0.095 0.190 0.863
7 In 0.409 0.818 0.371
8 Mg 0.905 0.810 0.137
9 Mg 0.125 0.250 0.391
10 Pt 0.244 0.488 0.118

Values from the calculation:
For the distance to the lowest polymorph of the same formula, the calculation gives 2.2 kJ per mole of atoms. The space group is C2/m. For the total magnetization, the calculation gives 0.00 μB per atom. The calculation puts the raw total energy at -31.3 eV per cell.

***

## MgIn2Pt2 (PBE-GGA)

Data for an optimized crystal structure of MgIn2Pt2.

Lattice parameters (Å, degrees): 7.256 7.256 3.677 90.00 90.00 90.00
Element x y z (fractional)
1 Pt 0.643 0.143 0.000
2 Mg 0.500 0.500 0.000
3 In 0.842 0.342 0.500
4 In 0.342 0.158 0.500
5 Pt 0.143 0.357 0.000
6 In 0.658 0.842 0.500
7 Pt 0.357 0.857 0.000
8 Pt 0.857 0.643 0.000
9 In 0.158 0.658 0.500
10 Mg 0.000 0.000 0.000

Values from the calculation:
For the distance to the lowest polymorph of the same formula, the calculation gives 6.9 kJ per mole of atoms. The space group is P4/mbm. For the total magnetization, the calculation gives 0.00 μB per atom. The calculation puts the raw total energy at -43.6 eV per cell.

***

## MgIn2Pt (PBE-GGA)

Data for an optimized crystal structure of MgIn2Pt.

Lattice parameters (Å, degrees): 5.302 8.465 15.134 90.00 90.00 90.00
Element x y z (fractional)
1 Pt 0.734 0.750 0.684
2 Pt 0.447 0.750 0.432
3 In 0.758 0.947 0.534
4 In 0.019 0.950 0.788
5 Mg 0.242 0.750 0.611
6 In 0.519 0.050 0.712
7 Mg 0.541 0.750 0.861
8 In 0.758 0.553 0.534
9 In 0.258 0.053 0.966
10 Pt 0.234 0.250 0.816
11 Mg 0.758 0.250 0.389
12 Mg 0.041 0.250 0.639
13 In 0.981 0.450 0.212
14 Pt 0.266 0.250 0.316
15 Mg 0.959 0.750 0.361
16 In 0.258 0.447 0.966
17 In 0.019 0.550 0.788
18 Mg 0.258 0.750 0.111
19 Pt 0.947 0.250 0.068
20 In 0.742 0.947 0.034
21 In 0.481 0.550 0.288
22 In 0.481 0.950 0.288
23 In 0.242 0.447 0.466
24 Pt 0.053 0.750 0.932
25 Pt 0.553 0.250 0.568
26 Mg 0.459 0.250 0.139
27 In 0.742 0.553 0.034
28 In 0.242 0.053 0.466
29 In 0.981 0.050 0.212
30 Mg 0.742 0.250 0.889
31 Pt 0.766 0.750 0.184
32 In 0.519 0.450 0.712

Values from the calculation:
The space group is Pnma. For the total magnetization, the calculation gives 0.00 μB per atom. The calculation puts the raw total energy at -119.2 eV per cell.